i) # PBE Sr2AlF, relaxed
# **Space-group type**: R-3m (166)
data_Sr2AlF
_cell_length_a 3.8527
_cell_length_b 3.8527
_cell_length_c 10.0498
_cell_angle_alpha 78.95
_cell_angle_beta 78.95
_cell_angle_gamma 60.00
_space_group_name_H-M_alt 'P 1'
_space_group_IT_number 1
loop_
_space_group_symop_operation_xyz
'x,y,z'
loop_
_atom_site_label
_atom_site_type_symbol
_atom_site_fract_x
_atom_site_fract_y
_atom_site_fract_z
Al1 Al 0.0000 0.0000 0.0000
Sr1 Sr 0.8901 0.8901 0.3298
Sr2 Sr 0.1099 0.1099 0.6702
F1 F 0.5000 0.5000 0.5000



ii) # PBE Sr2AlF, relaxed
# **Space-group type**: Fm-3m (225)
data_Sr2AlF
_cell_length_a 5.4991
_cell_length_b 5.4991
_cell_length_c 5.4991
_cell_angle_alpha 60.00
_cell_angle_beta 60.00
_cell_angle_gamma 60.00
_space_group_name_H-M_alt 'P 1'
_space_group_IT_number 1
loop_
_space_group_symop_operation_xyz
'x,y,z'
loop_
_atom_site_label
_atom_site_type_symbol
_atom_site_fract_x
_atom_site_fract_y
_atom_site_fract_z
F1 F 0.0000 0.0000 0.0000
Sr1 Sr 0.2500 0.2500 0.2500
Al1 Al 0.5000 0.5000 0.5000
Sr2 Sr 0.7500 0.7500 0.7500



Quick one: most stable of them? ii)



i) # PBE SrAlF5, relaxed
# **Space-group type**: C2/c (15)
data_SrAlF5
_cell_length_a 5.6432
_cell_length_b 5.6432
_cell_length_c 7.6425
_cell_angle_alpha 70.54
_cell_angle_beta 70.54
_cell_angle_gamma 72.29
_space_group_name_H-M_alt 'P 1'
_space_group_IT_number 1
loop_
_space_group_symop_operation_xyz
'x,y,z'
loop_
_atom_site_label
_atom_site_type_symbol
_atom_site_fract_x
_atom_site_fract_y
_atom_site_fract_z
F1 F 0.7380 0.2829 0.5268
Al1 Al 0.0000 0.0000 0.5000
F2 F 0.7171 0.2620 0.9732
F3 F 0.9473 0.0527 0.2500
F4 F 0.7717 0.8020 0.6066
F5 F 0.1980 0.2283 0.8934
F6 F 0.2829 0.7380 0.0268
Sr1 Sr 0.4556 0.5444 0.7500
F7 F 0.8020 0.7717 0.1066
Sr2 Sr 0.5444 0.4556 0.2500
F8 F 0.2283 0.1980 0.3934
F9 F 0.2620 0.7171 0.4732
F10 F 0.0527 0.9473 0.7500
Al2 Al 0.0000 0.0000 0.0000



ii) # PBE SrAlF5, relaxed
# **Space-group type**: I4 (79)
data_SrAlF5
_cell_length_a 7.2287
_cell_length_b 10.7964
_cell_length_c 10.7964
_cell_angle_alpha 83.57
_cell_angle_beta 70.44
_cell_angle_gamma 70.44
_space_group_name_H-M_alt 'P 1'
_space_group_IT_number 1
loop_
_space_group_symop_operation_xyz
'x,y,z'
loop_
_atom_site_label
_atom_site_type_symbol
_atom_site_fract_x
_atom_site_fract_y
_atom_site_fract_z
F1 F 0.3874 0.5426 0.6738
F2 F 0.6037 0.4574 0.3262
Sr1 Sr 0.9439 0.8265 0.2766
F3 F 0.2171 0.8599 0.3527
F4 F 0.1185 0.0833 0.1572
F5 F 0.8818 0.5589 0.6681
F6 F 0.2271 0.0235 0.5136
F7 F 0.4217 0.3534 0.1402
Al1 Al 0.4954 0.5000 0.5000
Sr2 Sr 0.2483 0.1777 0.3160
F8 F 0.2694 0.6096 0.1880
Sr3 Sr 0.7420 0.8223 0.6840
F9 F 0.8701 0.9156 0.8433
Sr4 Sr 0.0471 0.1735 0.7234
F10 F 0.7750 0.1402 0.6466
F11 F 0.3590 0.9167 0.8428
F12 F 0.2454 0.5000 0.5000
Sr5 Sr 0.4260 0.3160 0.8223
F13 F 0.9239 0.6093 0.1876
F14 F 0.4297 0.1401 0.6473
F15 F 0.4942 0.0000 0.0000
F16 F 0.7208 0.3907 0.8124
F17 F 0.2018 0.1572 0.9167
Al2 Al 0.7418 0.0000 0.0000
F18 F 0.0611 0.3262 0.5426
F19 F 0.5619 0.8598 0.3534
Sr6 Sr 0.2205 0.7234 0.8265
Al3 Al 0.1771 0.4845 0.1522
F20 F 0.5697 0.6473 0.8599
F21 F 0.7407 0.4864 0.0235
F22 F 0.9943 0.0000 0.0000
F23 F 0.1088 0.4411 0.3319
F24 F 0.6291 0.0844 0.1567
F25 F 0.2757 0.8428 0.0833
F26 F 0.9299 0.6738 0.4574
Al4 Al 0.6616 0.1522 0.5155
F27 F 0.0770 0.3527 0.1401
F28 F 0.2506 0.5136 0.9765
Al5 Al 0.9954 0.5000 0.5000
F29 F 0.8790 0.1880 0.3904
Al6 Al 0.3293 0.8478 0.4845
Sr7 Sr 0.5643 0.6840 0.1777
F30 F 0.7858 0.8433 0.0844
F31 F 0.7642 0.9765 0.4864
Sr8 Sr 0.7705 0.2766 0.1735
F32 F 0.5499 0.3319 0.5589
F33 F 0.1114 0.8124 0.6093
F34 F 0.0669 0.3904 0.8120
F35 F 0.4407 0.6681 0.4411
F36 F 0.5332 0.1876 0.3907
F37 F 0.7135 0.1567 0.9156
F38 F 0.9152 0.6466 0.8598
Al7 Al 0.2468 0.0000 0.0000
Al8 Al 0.8138 0.5155 0.8478
F39 F 0.7454 0.5000 0.5000
F40 F 0.4573 0.8120 0.6096



iii) # PBE SrAlF5, relaxed
# **Space-group type**: P2_1/c (14)
data_SrAlF5
_cell_length_a 7.5395
_cell_length_b 9.0694
_cell_length_c 13.6223
_cell_angle_alpha 52.71
_cell_angle_beta 90.00
_cell_angle_gamma 90.00
_space_group_name_H-M_alt 'P 1'
_space_group_IT_number 1
loop_
_space_group_symop_operation_xyz
'x,y,z'
loop_
_atom_site_label
_atom_site_type_symbol
_atom_site_fract_x
_atom_site_fract_y
_atom_site_fract_z
F1 F 0.1072 0.2720 0.3528
F2 F 0.2188 0.5771 0.3624
F3 F 0.3915 0.7441 0.4366
Al1 Al 0.7067 0.2028 0.1645
Al2 Al 0.2067 0.7972 0.3355
F4 F 0.7812 0.4229 0.6376
Sr1 Sr 0.7225 0.7582 0.4619
F5 F 0.7188 0.4229 0.1376
Al3 Al 0.2933 0.7972 0.8355
F6 F 0.9456 0.2716 0.5418
F7 F 0.8915 0.2559 0.0634
F8 F 0.8307 0.0979 0.3051
F9 F 0.6877 0.9572 0.2135
F10 F 0.0075 0.8630 0.2293
F11 F 0.8123 0.9572 0.7135
F12 F 0.0544 0.7284 0.4582
F13 F 0.6085 0.2559 0.5634
Al4 Al 0.8007 0.8037 0.1872
F14 F 0.4925 0.8630 0.7293
F15 F 0.2607 0.3839 0.1523
F16 F 0.1693 0.9021 0.6949
F17 F 0.4352 0.3494 0.3310
F18 F 0.3123 0.0428 0.7865
Sr2 Sr 0.2225 0.2418 0.0381
F19 F 0.3928 0.2720 0.8528
F20 F 0.1803 0.0123 0.9750
F21 F 0.6803 0.9877 0.5250
F22 F 0.1877 0.0428 0.2865
F23 F 0.5075 0.1370 0.2707
F24 F 0.7607 0.6161 0.3477
F25 F 0.4456 0.7284 0.9582
Sr3 Sr 0.7209 0.3201 0.8614
F26 F 0.6693 0.0979 0.8051
F27 F 0.5544 0.2716 0.0418
Sr4 Sr 0.2775 0.2418 0.5381
Al5 Al 0.7933 0.2028 0.6645
F28 F 0.6072 0.7280 0.1472
F29 F 0.8928 0.7280 0.6472
F30 F 0.9925 0.1370 0.7707
Sr5 Sr 0.2209 0.6799 0.6386
F31 F 0.1085 0.7441 0.9366
F32 F 0.9352 0.6506 0.1690
Sr6 Sr 0.2791 0.6799 0.1386
Al6 Al 0.6993 0.8037 0.6872
Al7 Al 0.3007 0.1963 0.3128
Sr7 Sr 0.7775 0.7582 0.9619
F33 F 0.0648 0.3494 0.8310
F34 F 0.2393 0.3839 0.6523
F35 F 0.8197 0.9877 0.0250
F36 F 0.7393 0.6161 0.8477
F37 F 0.5648 0.6506 0.6690
Sr8 Sr 0.7791 0.3201 0.3614
F38 F 0.3197 0.0123 0.4750
F39 F 0.3307 0.9021 0.1949
F40 F 0.2812 0.5771 0.8624
Al8 Al 0.1993 0.1963 0.8128



iv) # PBE SrAlF5, relaxed
# **Space-group type**: P2_1/c (14)
data_SrAlF5
_cell_length_a 7.5460
_cell_length_b 8.9215
_cell_length_c 12.8216
_cell_angle_alpha 102.56
_cell_angle_beta 90.00
_cell_angle_gamma 90.00
_space_group_name_H-M_alt 'P 1'
_space_group_IT_number 1
loop_
_space_group_symop_operation_xyz
'x,y,z'
loop_
_atom_site_label
_atom_site_type_symbol
_atom_site_fract_x
_atom_site_fract_y
_atom_site_fract_z
F1 F 0.0425 0.8114 0.7459
F2 F 0.8069 0.3510 0.8166
Sr1 Sr 0.7679 0.7827 0.6371
Al1 Al 0.7658 0.1270 0.3200
F3 F 0.1913 0.0695 0.6884
F4 F 0.3087 0.0695 0.1884
Al2 Al 0.2342 0.8730 0.6800
F5 F 0.1931 0.6490 0.1834
F6 F 0.8087 0.9305 0.3116
Al3 Al 0.7575 0.5440 0.3687
Sr2 Sr 0.2760 0.7077 0.3987
F7 F 0.0239 0.4050 0.6109
F8 F 0.9373 0.1434 0.8958
F9 F 0.1045 0.8116 0.5588
F10 F 0.1016 0.3111 0.0955
F11 F 0.5239 0.5950 0.8891
Sr3 Sr 0.7321 0.7827 0.1371
Al4 Al 0.2658 0.8730 0.1800
F12 F 0.6913 0.9305 0.8116
F13 F 0.3069 0.6490 0.6834
F14 F 0.8955 0.1884 0.4412
F15 F 0.2280 0.4363 0.7695
F16 F 0.2344 0.4850 0.9952
Al5 Al 0.7425 0.5440 0.8687
F17 F 0.8274 0.0771 0.6841
F18 F 0.4575 0.8114 0.2459
F19 F 0.3984 0.3111 0.5955
F20 F 0.2656 0.4850 0.4952
F21 F 0.6931 0.3510 0.3166
F22 F 0.7344 0.5150 0.5048
F23 F 0.6726 0.0771 0.1841
F24 F 0.3955 0.8116 0.0588
F25 F 0.5425 0.1886 0.7541
Sr4 Sr 0.7760 0.2923 0.1013
F26 F 0.4761 0.4050 0.1109
Sr5 Sr 0.2679 0.2173 0.8629
F27 F 0.6045 0.1884 0.9412
F28 F 0.2720 0.4363 0.2695
F29 F 0.3274 0.9229 0.8159
F30 F 0.9575 0.1886 0.2541
Al6 Al 0.7342 0.1270 0.8200
F31 F 0.7656 0.5150 0.0048
F32 F 0.4373 0.8566 0.6042
Al7 Al 0.2575 0.4560 0.1313
Sr6 Sr 0.2240 0.7077 0.8987
Sr7 Sr 0.7240 0.2923 0.6013
F33 F 0.8984 0.6889 0.9045
F34 F 0.5627 0.1434 0.3958
Sr8 Sr 0.2321 0.2173 0.3629
Al8 Al 0.2425 0.4560 0.6313
F35 F 0.9761 0.5950 0.3891
F36 F 0.6016 0.6889 0.4045
F37 F 0.0627 0.8566 0.1042
F38 F 0.7280 0.5637 0.7305
F39 F 0.1726 0.9229 0.3159
F40 F 0.7720 0.5637 0.2305



Quick one: most stable of them? iii)